CrTcHRu2 after structural relaxation. Source: the Alexandria database, functional PBE.

Cell: 3.842 3.842 3.868 Å, 90.00 90.00 90.00°
Site moments in Bohr magnetons follow the coordinates.
Fractional positions:
1 Ru 0.500 0.000 0.000  -0.14
2 Ru 0.000 0.500 0.000  -0.14
3 Cr 0.500 0.500 0.500  0.92
4 H 0.000 0.000 0.000  0.00
5 Tc 0.000 0.000 0.500  -0.28

Computed properties:
SG   No. 123
DOS(E_F)   6.16 states/eV/cell
E above lowest polymorph   0.0324 eV/atom

KAl after structural relaxation. Source: the Alexandria database, functional PBE.

Cell: 10.261 10.261 10.261 Å, 90.00 90.00 90.00°
Site moments in Bohr magnetons follow the coordinates.
Fractional positions:
1 Al 0.406 0.594 0.406  0.14
2 Al 0.594 0.406 0.406  0.14
3 Al 0.094 0.906 0.906  0.14
4 Al 0.906 0.906 0.094  0.14
5 Al 0.406 0.406 0.594  0.14
6 Al 0.094 0.094 0.094  0.14
7 Al 0.594 0.594 0.594  0.14
8 Al 0.906 0.094 0.906  0.14
9 K 0.789 0.789 0.789  0.03
10 K 0.289 0.711 0.711  0.03
11 K 0.211 0.789 0.211  0.03
12 K 0.789 0.211 0.211  0.03
13 K 0.289 0.289 0.289  0.03
14 K 0.711 0.711 0.289  0.03
15 K 0.711 0.289 0.711  0.03
16 K 0.211 0.211 0.789  0.03

Computed properties:
SG   No. 217
Energy of formation from the pure elements   0.47 eV/atom
DOS(E_F)   13.53 states/eV/cell
E above lowest polymorph   0.3502 eV/atom

KCl after structural relaxation. Source: the Alexandria database, functional PBE.

Cell: 4.505 4.505 4.505 Å, 60.00 60.00 60.00°
Fractional positions:
1 Cl 0.500 0.500 0.500
2 K 0.000 0.000 0.000

Computed properties:
SG   No. 225
DOS(E_F)   0.00 states/eV/cell
Formation energy from raw total energies   -378 kJ/mol of formula units

CeGdH2 after structural relaxation. Source: the Alexandria database, functional PBE.

Cell: 3.511 3.511 6.197 Å, 73.54 73.54 60.00°
Site moments in Bohr magnetons follow the coordinates.
Fractional positions:
1 H 0.252 0.252 0.243  -0.01
2 H 0.748 0.748 0.757  -0.01
3 Gd 0.000 0.000 0.000  7.07
4 Ce 0.500 0.500 0.500  0.56

Computed properties:
SG   No. 166
Final energy   -28.20 eV/cell
DOS(E_F)   5.43 states/eV/cell

CaHo6Tm6 after structural relaxation. Source: the Alexandria database, functional PBE.

Cell: 6.600 6.600 10.924 Å, 90.00 90.00 116.32°
Fractional positions:
1 Tm 0.000 0.500 0.230
2 Tm 0.500 0.000 0.770
3 Tm 0.500 0.500 0.297
4 Tm 0.500 0.500 0.703
5 Tm 0.500 0.000 0.230
6 Tm 0.000 0.500 0.770
7 Ho 0.734 0.266 0.500
8 Ho 0.643 0.357 0.000
9 Ho 0.266 0.734 0.500
10 Ho 0.000 0.000 0.659
11 Ho 0.000 0.000 0.341
12 Ho 0.357 0.643 0.000
13 Ca 0.000 0.000 0.000

Computed properties:
SG   No. 65
Energy of formation from the pure elements   0.22 eV/atom
DOS(E_F)   16.68 states/eV/cell

KScIr2 after structural relaxation. Source: the Alexandria database, functional PBE.

Cell: 5.212 5.212 6.072 Å, 77.52 77.52 34.62°
Fractional positions:
1 K 0.490 0.490 0.510
2 Ir 0.000 0.000 0.962
3 Ir 0.718 0.718 0.875
4 Sc 0.293 0.293 0.152

Computed properties:
SG   No. 8
Energy of formation from the pure elements   0.18 eV/atom
DOS(E_F)   2.30 states/eV/cell
E above lowest polymorph   0.2156 eV/atom

EuDyTmTh after structural relaxation. Source: the Alexandria database, functional PBE.

Cell: 5.724 5.724 5.724 Å, 60.00 60.00 60.00°
Site moments in Bohr magnetons follow the coordinates.
Fractional positions:
1 Dy 0.750 0.750 0.750  0.01
2 Tm 0.250 0.250 0.250  0.00
3 Th 0.000 0.000 0.000  -0.07
4 Eu 0.500 0.500 0.500  6.84

Computed properties:
SG   No. 216
Energy of formation from the pure elements   0.19 eV/atom
DOS(E_F)   6.88 states/eV/cell

FeRe2Ir after structural relaxation. Source: the Alexandria database, functional PBE.

Cell: 3.744 3.744 9.247 Å, 78.32 78.32 90.00°
Site moments in Bohr magnetons follow the coordinates.
Fractional positions:
1 Re 0.591 0.125 0.250  -0.08
2 Re 0.375 0.409 0.750  -0.07
3 Re 0.159 0.625 0.250  -0.07
4 Re 0.875 0.841 0.750  -0.06
5 Ir 0.750 0.250 0.500  0.01
6 Ir 0.000 0.000 0.000  0.01
7 Fe 0.250 0.750 0.500  2.00
8 Fe 0.500 0.500 0.000  1.98

Computed properties:
SG   No. 122
Energy of formation from the pure elements   0.62 eV/atom
DOS(E_F)   8.15 states/eV/cell
E above lowest polymorph   0.6666 eV/atom